GGA-PBE Cr3AuSe, relaxed; relative energy among the computed polymorphs = 132.7 meV per atom; E_form (uncorrected) = 1.1494 eV per atom; E_tot = -29.9 eV/cell
1.0
4.9993 0.0000 0.0000
0.0000 4.9993 0.0000
0.0000 0.0000 4.9993
Cr Au Se
3 1 1
direct
0.0000 0.0000 0.5000
0.0000 0.5000 0.0000
0.5000 0.0000 0.0000
0.0000 0.0000 0.0000
0.5000 0.5000 0.5000